# GGA-PBE LaNi2Se, optimized geometry
# ΔE_f (raw) ... -659 meV per atom
# E ... -22.6 eV per cell
data_LaNi2Se
_symmetry_space_group_name_H-M 'P m m m'
_symmetry_Int_Tables_number 47
_symmetry_space_group_name_Hall '-P 2 2'
_cell_length_a 4.044
_cell_length_b 4.061
_cell_length_c 4.881
_cell_angle_alpha 90.00
_cell_angle_beta 90.00
_cell_angle_gamma 90.00
loop_
_atom_site_label
_atom_site_type_symbol
_atom_site_fract_x
_atom_site_fract_y
_atom_site_fract_z
La1 La 0.000 0.000 0.000
Ni1 Ni 0.500 0.500 0.243
Se1 Se 0.000 0.500 0.500



# GGA-PBE LaNiSe3, optimized geometry
# Excess energy over the best structure of this formula in the dataset ... 1277 meV/atom
# ΔE_f (raw) ... 346 meV per atom
# E ... -19.4 eV per cell
data_LaNiSe3
_symmetry_space_group_name_H-M 'P m -3 m'
_symmetry_Int_Tables_number 221
_symmetry_space_group_name_Hall '-P 4 2 3'
_cell_length_a 5.696
_cell_length_b 5.696
_cell_length_c 5.696
_cell_angle_alpha 90.00
_cell_angle_beta 90.00
_cell_angle_gamma 90.00
loop_
_atom_site_label
_atom_site_type_symbol
_atom_site_fract_x
_atom_site_fract_y
_atom_site_fract_z
La1 La 0.000 0.000 0.000
Ni1 Ni 0.500 0.500 0.500
Se1 Se 0.000 0.000 0.500



# GGA-PBE LaNi2Se, optimized geometry
# ΔE_f (raw) ... -317 meV per atom
# E ... -21.2 eV per cell
data_LaNi2Se
_symmetry_space_group_name_H-M 'P 4 m m'
_symmetry_Int_Tables_number 99
_symmetry_space_group_name_Hall 'P 4 -2'
_cell_length_a 3.385
_cell_length_b 3.385
_cell_length_c 6.335
_cell_angle_alpha 90.00
_cell_angle_beta 90.00
_cell_angle_gamma 90.00
loop_
_atom_site_label
_atom_site_type_symbol
_atom_site_fract_x
_atom_site_fract_y
_atom_site_fract_z
La1 La 0.000 0.000 0.000
Ni1 Ni 0.000 0.000 0.474
Ni2 Ni 0.500 0.500 0.272
Se1 Se 0.500 0.500 0.634



# GGA-PBE LaNi3Se, optimized geometry
# Excess energy over the best structure of this formula in the dataset ... 0 meV/atom
# ΔE_f (raw) ... -169 meV per atom
# E ... -26.6 eV per cell
data_LaNi3Se
_symmetry_space_group_name_H-M 'P m -3 m'
_symmetry_Int_Tables_number 221
_symmetry_space_group_name_Hall '-P 4 2 3'
_cell_length_a 4.496
_cell_length_b 4.496
_cell_length_c 4.496
_cell_angle_alpha 90.00
_cell_angle_beta 90.00
_cell_angle_gamma 90.00
loop_
_atom_site_label
_atom_site_type_symbol
_atom_site_fract_x
_atom_site_fract_y
_atom_site_fract_z
La1 La 0.000 0.000 0.000
Ni1 Ni 0.000 0.500 0.500
Se1 Se 0.500 0.500 0.500



# GGA-PBE LaNi4Se, optimized geometry
# ΔE_f (raw) ... -197 meV per atom
# E ... -130.9 eV per cell
data_LaNi4Se
_symmetry_space_group_name_H-M 'F -4 3 m'
_symmetry_Int_Tables_number 216
_symmetry_space_group_name_Hall 'F -4 2 3'
_cell_length_a 7.172
_cell_length_b 7.172
_cell_length_c 7.172
_cell_angle_alpha 90.00
_cell_angle_beta 90.00
_cell_angle_gamma 90.00
loop_
_atom_site_label
_atom_site_type_symbol
_atom_site_fract_x
_atom_site_fract_y
_atom_site_fract_z
La1 La 0.000 0.000 0.000
Ni1 Ni 0.125 0.125 0.375
Se1 Se 0.250 0.250 0.750



# GGA-PBE LaNiSe3, optimized geometry
# Excess energy over the best structure of this formula in the dataset ... 0 meV/atom
# ΔE_f (raw) ... -931 meV per atom
# E ... -25.8 eV per cell
data_LaNiSe3
_symmetry_space_group_name_H-M 'P m -3 m'
_symmetry_Int_Tables_number 221
_symmetry_space_group_name_Hall '-P 4 2 3'
_cell_length_a 4.786
_cell_length_b 4.786
_cell_length_c 4.786
_cell_angle_alpha 90.00
_cell_angle_beta 90.00
_cell_angle_gamma 90.00
loop_
_atom_site_label
_atom_site_type_symbol
_atom_site_fract_x
_atom_site_fract_y
_atom_site_fract_z
La1 La 0.000 0.000 0.000
Ni1 Ni 0.500 0.500 0.500
Se1 Se 0.000 0.500 0.500



# GGA-PBE La3NiSe, optimized geometry
# Excess energy over the best structure of this formula in the dataset ... 0 meV/atom
# ΔE_f (raw) ... -405 meV per atom
# E ... -26.1 eV per cell
data_La3NiSe
_symmetry_space_group_name_H-M 'P m -3 m'
_symmetry_Int_Tables_number 221
_symmetry_space_group_name_Hall '-P 4 2 3'
_cell_length_a 5.420
_cell_length_b 5.420
_cell_length_c 5.420
_cell_angle_alpha 90.00
_cell_angle_beta 90.00
_cell_angle_gamma 90.00
loop_
_atom_site_label
_atom_site_type_symbol
_atom_site_fract_x
_atom_site_fract_y
_atom_site_fract_z
La1 La 0.000 0.000 0.500
Ni1 Ni 0.000 0.000 0.000
Se1 Se 0.500 0.500 0.500



# GGA-PBE LaNi2Se, optimized geometry
# ΔE_f (raw) ... -535 meV per atom
# E ... -88.5 eV per cell
data_LaNi2Se
_symmetry_space_group_name_H-M 'I -4 2 d'
_symmetry_Int_Tables_number 122
_symmetry_space_group_name_Hall 'I -4 2bw'
_cell_length_a 4.624
_cell_length_b 4.624
_cell_length_c 15.477
_cell_angle_alpha 90.00
_cell_angle_beta 90.00
_cell_angle_gamma 90.00
loop_
_atom_site_label
_atom_site_type_symbol
_atom_site_fract_x
_atom_site_fract_y
_atom_site_fract_z
La1 La 0.000 0.000 0.000
Ni1 Ni 0.061 0.250 0.625
Se1 Se 0.000 0.000 0.500